[1]
{"formula": "ErMgCuNi", "functional": "GGA-PBE", "state": "optimized geometry", "total_magnetization_mub_per_atom": 0.000, "formation_enthalpy_0k_ev_per_atom": -0.248, "n_ef_per_ev_cell": 2.35, "space_group": "No. 216", "cell": [[0.0000, 3.2586, 3.2586], [3.2586, 0.0000, 3.2586], [3.2586, 3.2586, 0.0000]], "species": ["Er", "Mg", "Cu", "Ni"], "fractional_positions": [[0.0000, 0.0000, 0.0000], [0.5000, 0.5000, 0.5000], [0.2500, 0.2500, 0.2500], [0.7500, 0.7500, 0.7500]]}

[2]
{"formula": "ErMgCuPb", "functional": "GGA-PBE", "state": "optimized geometry", "total_magnetization_mub_per_atom": 0.000, "formation_enthalpy_0k_ev_per_atom": -0.186, "n_ef_per_ev_cell": 0.57, "space_group": "No. 216", "cell": [[0.0000, 3.5504, 3.5504], [3.5504, 0.0000, 3.5504], [3.5504, 3.5504, 0.0000]], "species": ["Er", "Mg", "Cu", "Pb"], "fractional_positions": [[0.0000, 0.0000, 0.0000], [0.5000, 0.5000, 0.5000], [0.7500, 0.7500, 0.7500], [0.2500, 0.2500, 0.2500]]}

[3]
{"formula": "ErMgCuRh", "functional": "GGA-PBE", "state": "optimized geometry", "total_magnetization_mub_per_atom": 0.000, "formation_enthalpy_0k_ev_per_atom": -0.463, "n_ef_per_ev_cell": 2.49, "space_group": "No. 216", "cell": [[0.0000, 3.2993, 3.2993], [3.2993, 0.0000, 3.2993], [3.2993, 3.2993, 0.0000]], "species": ["Er", "Mg", "Cu", "Rh"], "fractional_positions": [[0.0000, 0.0000, 0.0000], [0.5000, 0.5000, 0.5000], [0.2500, 0.2500, 0.2500], [0.7500, 0.7500, 0.7500]]}

[4]
{"formula": "ErMgScCu", "functional": "GGA-PBE", "state": "optimized geometry", "total_magnetization_mub_per_atom": 0.000, "de_polymorph_mev_per_atom": 98, "formation_enthalpy_0k_ev_per_atom": -0.053, "n_ef_per_ev_cell": 4.83, "space_group": "No. 216", "cell": [[0.0000, 3.5085, 3.5085], [3.5085, 0.0000, 3.5085], [3.5085, 3.5085, 0.0000]], "species": ["Er", "Mg", "Sc", "Cu"], "fractional_positions": [[0.0000, 0.0000, 0.0000], [0.2500, 0.2500, 0.2500], [0.5000, 0.5000, 0.5000], [0.7500, 0.7500, 0.7500]]}